1.
Material: Sm2HoPuSe5
Method: DFT, PBE
State: optimized geometry

Summary:
formation energy (no corrections)	-1.159	eV per atom
DOS at the Fermi energy	1.8487	states/eV/atom

Structure (CIF):
```
data_Sm2HoPuSe5
_chemical_formula_sum 'Sm2 Ho1 Pu1 Se5'
_cell_length_a 5.068
_cell_length_b 5.068
_cell_length_c 10.862
_cell_angle_alpha 90.00
_cell_angle_beta 90.00
_cell_angle_gamma 90.00
_space_group_name_H-M_alt 'P 1'
_space_group_IT_number 1
loop_
_space_group_symop_operation_xyz
'x,y,z'
loop_
_atom_site_label
_atom_site_type_symbol
_atom_site_fract_x
_atom_site_fract_y
_atom_site_fract_z
Sm1 Sm 0.500 0.500 0.713
Ho1 Ho 0.000 0.000 0.500
Se1 Se 0.500 0.000 0.500
Pu1 Pu 0.000 0.000 0.000
Se2 Se 0.000 0.000 0.249
Se3 Se 0.000 0.000 0.751
Sm2 Sm 0.500 0.500 0.287
Se4 Se 0.500 0.500 0.000
Se5 Se 0.000 0.500 0.500
```



2.
Material: TlCd4Cu
Method: DFT, PBE
State: optimized geometry

Summary:
DOS at the Fermi energy	0.1813	states/eV/atom
energy of formation	238.1	meV per atom

Structure (CIF):
```
data_TlCd4Cu
_chemical_formula_sum 'Tl1 Cd4 Cu1'
_cell_length_a 5.836
_cell_length_b 5.836
_cell_length_c 5.836
_cell_angle_alpha 60.00
_cell_angle_beta 60.00
_cell_angle_gamma 60.00
_space_group_name_H-M_alt 'P 1'
_space_group_IT_number 1
loop_
_space_group_symop_operation_xyz
'x,y,z'
loop_
_atom_site_label
_atom_site_type_symbol
_atom_site_fract_x
_atom_site_fract_y
_atom_site_fract_z
Cd1 Cd 0.873 0.376 0.376
Cu1 Cu 0.750 0.750 0.750
Cd2 Cd 0.376 0.873 0.376
Tl1 Tl 0.000 0.000 0.000
Cd3 Cd 0.376 0.376 0.376
Cd4 Cd 0.376 0.376 0.873
```



3.
Material: TaRhAu3
Method: DFT, PBE
State: optimized geometry

Summary:
energy above the most stable polymorph in this dataset	0.00	eV per formula unit
DOS at the Fermi energy	2.3505	states/eV/atom
energy of formation	1461.9	meV per atom

Structure (CIF):
```
data_TaRhAu3
_chemical_formula_sum 'Ta1 Rh1 Au3'
_cell_length_a 5.030
_cell_length_b 5.030
_cell_length_c 5.030
_cell_angle_alpha 90.00
_cell_angle_beta 90.00
_cell_angle_gamma 90.00
_space_group_name_H-M_alt 'P 1'
_space_group_IT_number 1
loop_
_space_group_symop_operation_xyz
'x,y,z'
loop_
_atom_site_label
_atom_site_type_symbol
_atom_site_fract_x
_atom_site_fract_y
_atom_site_fract_z
Au1 Au 0.000 0.500 0.000
Rh1 Rh 0.500 0.500 0.500
Au2 Au 0.000 0.000 0.500
Au3 Au 0.500 0.000 0.000
Ta1 Ta 0.000 0.000 0.000
```



Computed values of total moment (unit: μB/f.u.) for the preceding records, in sequence: 6.5, 0.0, 0.0.
Computed values of DFT total energy (unit: eV for the cell shown) for the preceding records, in sequence: -56.2, -8.7, -21.7.